Compound: CsCrF2
Source: the Alexandria database
Functional: PBE+U
Structure: optimized geometry

Properties
* raw total energy: -4.93 eV/atom
* N(E_F): 3.61 states/eV/cell
* distance to the lowest polymorph of the same formula: 0.000 eV per atom
* space group: I-42d

Cell: 5.4792 5.4792 7.5001 Å, 68.58 68.58 90.00°
Closest atoms and distances in Å follow each position.
Sites, in units of the cell vectors:
F 0.8750 0.7558 0.7500  2 Cr 2.23
F 0.3750 0.4942 0.7500  2 Cr 2.23
F 0.5058 0.1250 0.2500  2 Cr 2.23
F 0.2442 0.6250 0.2500  2 Cr 2.23
Cr 0.5000 0.5000 0.0000  4 F 2.23
Cr 0.2500 0.7500 0.5000  4 F 2.23
Cs 0.7500 0.2500 0.5000  4 F 2.92
Cs 0.0000 0.0000 0.0000  4 F 2.92